No. 1
Density functional theory data (PBE) for an optimized crystal structure of HoTm3Sc.

## Properties
* size of the total moment: 0.0 μB per formula unit
* polymorph energy (0 for the lowest one): 0 kJ/mol of formula units
* crystal system: triclinic
* formation energy from the elements: 10 meV/atom

Cell: 6.0873 6.5082 8.9203 Å, 72.31 89.97 62.12°
Last column: nearest neighbours and their distance in Å.
Space group P-1 (No. 2)
Inequivalent atoms, fractional coordinates:
Ho 0.1287 0.4033 0.3471  9 Tm 3.40-3.57, 1 Ho 3.42, 2 Sc 3.50-3.52
Tm 0.0663 0.1994 0.0488  6 Tm 3.39-3.52, 4 Sc 3.39-3.51, 2 Ho 3.41-3.49
Tm 0.2685 0.7976 0.4478  6 Tm 3.38-3.54, 4 Ho 3.40-3.55, 2 Sc 3.41-3.55
Tm 0.3382 0.9946 0.7527  3 Sc 3.37-3.47, 6 Tm 3.40-3.54, 3 Ho 3.40-3.57
Sc 0.4664 0.4019 0.8533  1 Sc 3.34, 9 Tm 3.37-3.55, 2 Ho 3.50-3.52

No. 2
Density functional theory data (PBE) for an optimized crystal structure of Ho3TmSc2.

## Properties
* size of the total moment: 0.0 μB per formula unit
* crystal system: orthorhombic
* formation energy from the elements: 303 meV/atom

Cell: 14.2869 9.6177 5.4007 Å, 90.00 90.00 90.00°
Last column: nearest neighbours and their distance in Å.
Space group Cmcm (No. 63)
Inequivalent atoms, fractional coordinates:
Ho 0.0000 0.0937 0.2500  3 Tm 3.24-3.60, 4 Ho 3.25-3.51, 2 Sc 3.35
Ho 0.2441 0.1320 0.2500  2 Sc 3.06-3.28
Tm 0.0000 0.2804 0.7500  3 Ho 3.24-3.60, 6 Sc 3.32-3.39
Sc 0.1058 0.4045 0.2500  3 Sc 3.02-3.27, 3 Ho 3.06-3.35, 2 Tm 3.32

No. 3
Density functional theory data (PBE) for an optimized crystal structure of HoTm12Sc6.

## Properties
* size of the total moment: 0.0 μB per formula unit
* polymorph energy (0 for the lowest one): 362 kJ/mol of formula units
* crystal system: trigonal
* formation energy from the elements: 439 meV/atom

Cell: 14.4432 14.4432 9.7615 Å, 90.00 90.00 120.00°
Last column: nearest neighbours and their distance in Å.
Space group R-3m (No. 166, hexagonal axes)
Inequivalent atoms, fractional coordinates:
Ho 0.0000 0.0000 0.0000  6 Tm 3.41
Tm 0.0000 0.3876 0.5000  4 Sc 3.18-3.28, 5 Tm 3.25-3.53
Tm 0.0752 0.1503 0.2913  1 Sc 2.97, 2 Tm 3.26
Sc 0.0596 0.5298 0.2180  5 Tm 2.97-3.28

No. 4
Density functional theory data (PBE) for an optimized crystal structure of HoTm9Sc2.

## Properties
* size of the total moment: 0.0 μB per formula unit
* polymorph energy (0 for the lowest one): 0 kJ/mol of formula units
* crystal system: tetragonal
* formation energy from the elements: 40 meV/atom

Cell: 4.8856 4.8856 14.6465 Å, 90.00 90.00 90.00°
Last column: nearest neighbours and their distance in Å.
Space group P4/mmm (No. 123)
Inequivalent atoms, fractional coordinates:
Ho 0.0000 0.0000 0.0000  12 Tm 3.45-3.49
Tm 0.0000 0.5000 0.1704  2 Sc 3.43, 8 Tm 3.44-3.49, 2 Ho 3.49
Tm 0.0000 0.5000 0.5000  8 Tm 3.43-3.45, 4 Sc 3.44
Tm 0.5000 0.5000 0.0000  4 Ho 3.45, 8 Tm 3.49
Tm 0.5000 0.5000 0.3356  8 Tm 3.43-3.44, 4 Sc 3.45
Sc 0.0000 0.0000 0.3347  12 Tm 3.43-3.45

No. 5
Density functional theory data (PBE) for an optimized crystal structure of Ho3Tm4Sc4.

## Properties
* size of the total moment: 0.0 μB per formula unit
* polymorph energy (0 for the lowest one): 20 kJ/mol of formula units
* crystal system: triclinic
* formation energy from the elements: 68 meV/atom

Cell: 3.3741 5.3733 17.3822 Å, 98.86 95.56 90.00°
Last column: nearest neighbours and their distance in Å.
Space group P-1 (No. 2)
Inequivalent atoms, fractional coordinates:
Ho 0.0000 0.0000 0.0000  2 Ho 3.37, 8 Tm 3.55-3.56, 4 Sc 3.56
Ho 0.1379 0.6388 0.2763  2 Ho 3.37, 6 Tm 3.51-3.54, 6 Sc 3.55-3.69
Tm 0.3183 0.8175 0.6357  5 Sc 3.09-3.33, 2 Tm 3.37
Tm 0.4533 0.4525 0.9059  2 Sc 3.09, 3 Tm 3.22-3.37
Sc 0.2658 0.2659 0.5320  4 Tm 3.22-3.33, 6 Sc 3.35-3.37
Sc 0.4081 0.9077 0.8166  3 Tm 3.09, 2 Sc 3.37

No. 6
Density functional theory data (PBE) for an optimized crystal structure of Ho2TmSc7.

## Properties
* size of the total moment: 1.5 μB per formula unit
* polymorph energy (0 for the lowest one): 143 kJ/mol of formula units
* crystal system: orthorhombic
* formation energy from the elements: 203 meV/atom

Cell: 5.9941 27.3550 3.3080 Å, 90.00 90.00 90.00°
Last column: nearest neighbours and their distance in Å.
Space group Cmmm (No. 65)
Inequivalent atoms, fractional coordinates:
Ho 0.0000 0.2103 0.0000  4 Ho 3.31-3.70, 8 Sc 3.31-3.49
Tm 0.0000 0.0000 0.5000  2 Tm 3.31, 12 Sc 3.42-3.49
Sc 0.0000 0.3152 0.5000  6 Sc 3.26-3.31, 6 Ho 3.31-3.49
Sc 0.0000 0.5000 0.0000  6 Sc 3.09-3.31, 4 Tm 3.42
Sc 0.2470 0.0986 0.0000  7 Sc 2.96-3.31

E_tot / eV per formula unit: -24.3, -29.1, -87.9, -57.0, -56.2, -55.9